A plane-wave DFT calculation with PBE was carried out for a relaxed TbPr3Nd2Se6 crystal.

Output
formation energy without anion corrections = -1.833 eV per atom
calculated volume = 26.68 A^3/atom

Lattice parameters (Å, degrees): 7.2902 12.6870 7.3396 90.00 109.41 90.00
With the nearest neighbours (Å) after each atom.
Space group C2/m (No. 12)
Inequivalent atoms, fractional coordinates:
Tb  0.0000  0.0000  0.0000 (multiplicity 2)  6 Se 2.91-2.92
Pr  0.0000  0.1715  0.5000 (multiplicity 4)  6 Se 3.00-3.03
Pr  0.0000  0.5000  0.5000 (multiplicity 2)  6 Se 3.00-3.05
Nd  0.0000  0.3329  0.0000 (multiplicity 4)  6 Se 2.98-3.00
Se  0.2430  0.1626  0.2415 (multiplicity 8)  1 Tb 2.91, 2 Nd 2.98, 3 Pr 3.00-3.03
Se  0.2435  0.0000  0.7544 (multiplicity 4)  1 Tb 2.92, 2 Nd 3.00, 3 Pr 3.03-3.05

---

A plane-wave DFT calculation with PBE was carried out for a relaxed CeAl10Ru2 crystal.

Output
calculated volume = 16.51 A^3/atom
calculated formation energy = -0.52 eV per atom

Lattice parameters (Å, degrees): 9.0807 10.3083 9.1696 90.00 90.00 90.00
With the nearest neighbours (Å) after each atom.
Space group Cmcm (No. 63)
Inequivalent atoms, fractional coordinates:
Ce  0.0000  0.1235  0.2500 (multiplicity 4)  14 Al 3.18-3.32, 4 Ru 3.48
Al  0.0000  0.1588  0.6012 (multiplicity 8)  2 Ru 2.63, 8 Al 2.65-2.91
Al  0.0000  0.3769  0.0508 (multiplicity 8)  6 Al 2.65-2.84, 2 Ru 2.66
Al  0.1495  0.3703  0.7500 (multiplicity 8)  7 Al 2.68-2.91, 2 Ru 2.76
Al  0.2250  0.0000  0.0000 (multiplicity 8)  2 Ru 2.59, 8 Al 2.72-2.89
Al  0.2254  0.3649  0.2500 (multiplicity 8)  2 Ru 2.59, 8 Al 2.68-2.85
Ru  0.2500  0.2500  0.0000 (multiplicity 8)  10 Al 2.59-2.76

---

A plane-wave DFT calculation with PBE was carried out for a relaxed RbGa3F crystal.

Output
formation energy without anion corrections = 0.757 eV per atom
energy relative to the lowest polymorph listed for this composition = 1075 meV/atom
calculated volume = 52.64 A^3/atom

Lattice parameters (Å, degrees): 6.4088 6.4088 6.4088 90.00 90.00 90.00
With the nearest neighbours (Å) after each atom.
Space group Pm-3m (No. 221)
Inequivalent atoms, fractional coordinates:
Rb  0.0000  0.0000  0.0000 (multiplicity 1)  6 Ga 3.20
Ga  0.0000  0.0000  0.5000 (multiplicity 3)  2 Rb 3.20
F  0.5000  0.5000  0.5000 (multiplicity 1)  12 Ga 4.53

---

A plane-wave DFT calculation with PBE was carried out for a relaxed Na3TlSb crystal.

Output
formation energy without anion corrections = -0.297 eV per atom
energy relative to the lowest polymorph listed for this composition = 0 meV/atom
calculated volume = 30.11 A^3/atom

Lattice parameters (Å, degrees): 7.4734 5.1452 8.1132 90.00 105.18 90.00
With the nearest neighbours (Å) after each atom.
Space group P2_1/m (No. 11)
Inequivalent atoms, fractional coordinates:
Na  0.1309  0.2500  0.0332 (multiplicity 2)  3 Sb 3.11-3.47, 3 Na 3.19-3.38, 1 Tl 3.26
Na  0.3391  0.2500  0.4571 (multiplicity 2)  1 Tl 3.15, 3 Sb 3.17-3.25, 4 Na 3.38-3.52
Na  0.3663  0.7500  0.8173 (multiplicity 2)  3 Sb 3.27-3.49, 2 Na 3.52-3.63
Tl  0.0023  0.7500  0.3825 (multiplicity 2)  1 Sb 3.10, 2 Na 3.15-3.26, 2 Tl 3.21
Sb  0.3262  0.7500  0.2092 (multiplicity 2)  1 Tl 3.10, 7 Na 3.11-3.47

---

Among the records above, which one has the lowest calculated volume?
CeAl10Ru2

---

Among the records above, which one has the highest calculated volume?
RbGa3F

---

Which of these has the lowest calculated volume?
CeAl10Ru2